Record 1
Tl3CrSn: PBEsol geometry, SCAN.

Results
crystal system	cubic
spin magnetization	4.939	μB/f.u.
energy of formation	364	kJ/mol of formula units
N(E_F)	2.7	states/eV/f.u.
theoretical density	7.32	g/cm3

abc: 5.6228 5.6228 5.6228
angles: 90.00 90.00 90.00
Last column: nearest neighbours and their distance in Å.
Fractional coordinates of all 5 atoms:
Cr 0.5000 0.5000 0.5000  12 Tl 3.98
Tl 0.0000 0.5000 0.0000  2 Sn 2.81
Tl 0.0000 0.0000 0.5000  2 Sn 2.81
Tl 0.5000 0.0000 0.0000  2 Sn 2.81
Sn 0.0000 0.0000 0.0000  6 Tl 2.81

Record 2
ZrCr3Sn: PBEsol geometry, SCAN.

Results
crystal system	cubic
spin magnetization	9.837	μB/f.u.
energy of formation	595	kJ/mol of formula units
N(E_F)	6.8	states/eV/f.u.
theoretical density	5.59	g/cm3

abc: 4.7725 4.7725 4.7725
angles: 90.00 90.00 90.00
Last column: nearest neighbours and their distance in Å.
Fractional coordinates of all 5 atoms:
Cr 0.0000 0.5000 0.0000  2 Sn 2.39
Cr 0.0000 0.0000 0.5000  2 Sn 2.39
Cr 0.5000 0.0000 0.0000  2 Sn 2.39
Sn 0.0000 0.0000 0.0000  6 Cr 2.39
Zr 0.5000 0.5000 0.5000  12 Cr 3.37

Record 3
SrCr: PBEsol geometry, SCAN.

Results
crystal system	cubic
spin magnetization	5.194	μB/f.u.
energy of formation	100	kJ/mol of formula units
N(E_F)	1.4	states/eV/f.u.
theoretical density	3.77	g/cm3

abc: 3.9477 3.9477 3.9477
angles: 90.00 90.00 90.00
Last column: nearest neighbours and their distance in Å.
Fractional coordinates of all 2 atoms:
Sr 0.5000 0.5000 0.5000  8 Cr 3.42
Cr 0.0000 0.0000 0.0000  8 Sr 3.42

Record 4
SrCr: PBEsol geometry, SCAN.

Results
crystal system	hexagonal
spin magnetization	4.494	μB/f.u.
energy of formation	151	kJ/mol of formula units
N(E_F)	1.6	states/eV/f.u.
theoretical density	3.67	g/cm3

abc: 3.7729 3.7729 5.1200
angles: 90.00 90.00 120.00
Last column: nearest neighbours and their distance in Å.
Fractional coordinates of all 2 atoms:
Sr 0.6667 0.3333 0.5000  6 Cr 3.36
Cr 0.0000 0.0000 0.0000  6 Sr 3.36

Record 5
SrCr3: PBEsol geometry, SCAN.

Results
crystal system	trigonal
spin magnetization	3.771	μB/f.u.
energy of formation	398	kJ/mol of formula units
N(E_F)	3.7	states/eV/f.u.
theoretical density	6.37	g/cm3

abc: 2.9057 2.9057 8.8426
angles: 80.54 80.54 60.00
Last column: nearest neighbours and their distance in Å.
Fractional coordinates of all 4 atoms:
Cr 0.7706 0.7706 0.6883  3 Cr 2.34
Cr 0.5000 0.5000 0.5000  6 Cr 2.34
Cr 0.2294 0.2294 0.3117  3 Cr 2.34
Sr 0.0000 0.0000 0.0000  6 Sr 2.91, 6 Cr 3.18

Record 6
SrCr3: PBEsol geometry, SCAN.

Results
crystal system	hexagonal
spin magnetization	4.029	μB/f.u.
energy of formation	332	kJ/mol of formula units
N(E_F)	3.2	states/eV/f.u.
theoretical density	5.80	g/cm3

abc: 3.0729 3.0729 8.5278
angles: 90.00 90.00 120.00
Last column: nearest neighbours and their distance in Å.
Fractional coordinates of all 4 atoms:
Cr 0.0000 0.0000 0.1848  3 Cr 2.37
Cr 0.0000 0.0000 0.8152  3 Cr 2.37
Cr 0.3333 0.6667 0.0000  6 Cr 2.37
Sr 0.3333 0.6667 0.5000  6 Sr 3.07, 6 Cr 3.22

Record 7
SrTaCr: PBEsol geometry, SCAN.

Results
crystal system	tetragonal
spin magnetization	1.284	μB/f.u.
energy of formation	204	kJ/mol of formula units
N(E_F)	2.3	states/eV/f.u.
theoretical density	8.17	g/cm3

abc: 3.3004 3.3004 6.4189
angles: 104.90 104.90 90.00
Last column: nearest neighbours and their distance in Å.
Fractional coordinates of all 3 atoms:
Cr 0.9607 0.9607 0.9215  4 Ta 2.53
Sr 0.6598 0.6598 0.3196  4 Sr 3.30, 5 Cr 3.33-3.60, 5 Ta 3.35-3.51
Ta 0.3794 0.3794 0.7589  4 Cr 2.53

Record 8
SrTa3Cr: PBEsol geometry, SCAN.

Results
crystal system	cubic
spin magnetization	3.673	μB/f.u.
energy of formation	1506	kJ/mol of formula units
N(E_F)	6.3	states/eV/f.u.
theoretical density	10.38	g/cm3

abc: 4.7797 4.7797 4.7797
angles: 90.00 90.00 90.00
Last column: nearest neighbours and their distance in Å.
Fractional coordinates of all 5 atoms:
Sr 0.0000 0.0000 0.0000  6 Ta 2.39
Cr 0.5000 0.5000 0.5000  12 Ta 3.38
Ta 0.0000 0.5000 0.0000  2 Sr 2.39
Ta 0.0000 0.0000 0.5000  2 Sr 2.39
Ta 0.5000 0.0000 0.0000  2 Sr 2.39

Record 9
SrCrTc2: PBEsol geometry, SCAN.

Results
crystal system	trigonal
spin magnetization	0.000	μB/f.u.
energy of formation	330	kJ/mol of formula units
N(E_F)	3.9	states/eV/f.u.
energy above the most stable polymorph in this dataset	0.214	eV per atom
theoretical density	8.34	g/cm3

abc: 2.9243 2.9243 9.1786
angles: 80.83 80.83 60.00
Last column: nearest neighbours and their distance in Å.
Fractional coordinates of all 4 atoms:
Cr 0.5000 0.5000 0.5000  6 Tc 2.45
Sr 0.0000 0.0000 0.0000  6 Sr 2.92, 6 Tc 3.22
Tc 0.2322 0.2322 0.3034  3 Cr 2.45
Tc 0.7678 0.7678 0.6966  3 Cr 2.45

Record 10
SrCr2Tc: PBEsol geometry, SCAN.

Results
crystal system	monoclinic
spin magnetization	6.591	μB/f.u.
energy of formation	438	kJ/mol of formula units
N(E_F)	4.9	states/eV/f.u.
theoretical density	6.85	g/cm3

abc: 2.8119 5.4137 5.3654
angles: 120.76 90.00 90.00
Last column: nearest neighbours and their distance in Å.
Fractional coordinates of all 4 atoms:
Cr 0.0000 0.0000 0.0000  2 Tc 2.71, 6 Cr 2.81-3.01, 4 Sr 3.03
Cr 0.5000 0.5000 0.5000  2 Sr 2.71, 6 Cr 2.81-3.01, 4 Tc 3.03
Sr 0.5000 0.0000 0.5000  6 Cr 2.71-3.03, 2 Sr 2.81, 4 Tc 3.01
Tc 0.0000 0.5000 0.0000  6 Cr 2.71-3.03, 2 Tc 2.81, 4 Sr 3.01

Record 11
SrCrTc2: PBEsol geometry, SCAN.

Results
crystal system	monoclinic
spin magnetization	0.005	μB/f.u.
energy of formation	248	kJ/mol of formula units
N(E_F)	2.8	states/eV/f.u.
energy above the most stable polymorph in this dataset	0.000	eV per atom
theoretical density	7.04	g/cm3

abc: 3.0938 4.8659 5.7379
angles: 104.08 90.00 108.54
Last column: nearest neighbours and their distance in Å.
Fractional coordinates of all 4 atoms:
Cr 0.5433 0.0866 0.6319  4 Tc 2.31-2.36
Sr 0.7504 0.5008 0.2501  2 Sr 3.09, 7 Tc 3.25-3.34, 3 Cr 3.26-3.38
Tc 0.9635 0.9270 0.8722  2 Cr 2.31, 2 Tc 2.51
Tc 0.2428 0.4856 0.7458  2 Cr 2.36, 2 Tc 2.51

Record 12
Sr2CrTc: PBEsol geometry, SCAN.

Results
crystal system	tetragonal
spin magnetization	1.320	μB/f.u.
energy of formation	200	kJ/mol of formula units
N(E_F)	3.6	states/eV/f.u.
theoretical density	5.29	g/cm3

abc: 3.3278 3.3278 9.2143
angles: 90.00 90.00 90.00
Last column: nearest neighbours and their distance in Å.
Fractional coordinates of all 4 atoms:
Cr 0.5000 0.5000 0.6558  4 Tc 2.42
Sr 0.0000 0.0000 0.9243  1 Tc 3.05, 4 Sr 3.33
Sr 0.5000 0.5000 0.3261  1 Cr 3.04, 4 Sr 3.33
Tc 0.0000 0.0000 0.5937  4 Cr 2.42

Record 13
SrCrTe2: PBEsol geometry, SCAN.

Results
crystal system	trigonal
spin magnetization	4.000	μB/f.u.
N(E_F)	3.6	states/eV/f.u.
uncorrected formation energy	-987	meV/atom
theoretical density	5.75	g/cm3

abc: 4.3252 4.3252 7.4668
angles: 73.16 73.16 60.00
Last column: nearest neighbours and their distance in Å.
Fractional coordinates of all 4 atoms:
Cr 0.0000 0.0000 0.0000  6 Te 2.87
Sr 0.5000 0.5000 0.5000  6 Te 3.26
Te 0.7338 0.7338 0.7986  3 Cr 2.87
Te 0.2662 0.2662 0.2014  3 Cr 2.87

Record 14
Sr2CrTe: PBEsol geometry, SCAN.

Results
crystal system	tetragonal
spin magnetization	5.730	μB/f.u.
N(E_F)	1.6	states/eV/f.u.
uncorrected formation energy	-347	meV/atom
theoretical density	4.34	g/cm3

abc: 3.9139 3.9139 8.8539
angles: 90.00 90.00 90.00
Last column: nearest neighbours and their distance in Å.
Fractional coordinates of all 4 atoms:
Cr 0.5000 0.5000 0.6883  4 Te 2.99, 1 Sr 3.30
Sr 0.0000 0.0000 0.9344  1 Te 3.30, 4 Cr 3.52
Sr 0.5000 0.5000 0.3160  1 Cr 3.30, 4 Te 3.52
Te 0.0000 0.0000 0.5613  4 Cr 2.99, 1 Sr 3.30

Record 15
Sr2CrTe: PBEsol geometry, SCAN.

Results
crystal system	trigonal
spin magnetization	5.917	μB/f.u.
N(E_F)	2.2	states/eV/f.u.
uncorrected formation energy	-500	meV/atom
theoretical density	4.00	g/cm3

abc: 4.5484 4.5484 8.6350
angles: 74.73 74.73 60.00
Last column: nearest neighbours and their distance in Å.
Fractional coordinates of all 4 atoms:
Cr 0.5000 0.5000 0.5000  6 Sr 3.40
Sr 0.7458 0.7458 0.7625  3 Te 3.27, 3 Cr 3.40
Sr 0.2542 0.2542 0.2375  3 Te 3.27, 3 Cr 3.40
Te 0.0000 0.0000 0.0000  6 Sr 3.27